Entry 1:
Below is an optimized crystal structure of RbCrS2, with properties calculated at the PBE level.

CIF file:
```
data_RbCrS2
_chemical_formula_sum 'Rb1 Cr1 S2'
_symmetry_space_group_name_H-M 'P 4/m m m'
_symmetry_Int_Tables_number 123
_symmetry_space_group_name_Hall '-P 4 2'
_cell_length_a 5.3350
_cell_length_b 5.3350
_cell_length_c 3.0698
_cell_angle_alpha 90.00
_cell_angle_beta 90.00
_cell_angle_gamma 90.00
loop_
_atom_site_label
_atom_site_fract_x
_atom_site_fract_y
_atom_site_fract_z
Rb1 0.0000 0.0000 0.0000
Cr1 0.5000 0.5000 0.0000
S1 0.0000 0.5000 0.5000
```

DOS at the Fermi energy: 1.54 states/eV per cell
crystal system: tetragonal
size of the total moment: 4.04 μB per formula unit

Entry 2:
Below is an optimized crystal structure of KSrMn2Ag, with properties calculated at the PBE level.

CIF file:
```
data_KSrMn2Ag
_chemical_formula_sum 'K1 Sr1 Mn2 Ag1'
_symmetry_space_group_name_H-M 'P 4/m m m'
_symmetry_Int_Tables_number 123
_symmetry_space_group_name_Hall '-P 4 2'
_cell_length_a 5.5399
_cell_length_b 5.5399
_cell_length_c 5.5791
_cell_angle_alpha 90.00
_cell_angle_beta 90.00
_cell_angle_gamma 90.00
loop_
_atom_site_label
_atom_site_fract_x
_atom_site_fract_y
_atom_site_fract_z
K1 0.0000 0.0000 0.0000
Sr1 0.5000 0.5000 0.5000
Mn1 0.0000 0.5000 0.0000
Ag1 0.0000 0.0000 0.5000
```

DOS at the Fermi energy: 4.68 states/eV per cell
crystal system: tetragonal
size of the total moment: 8.72 μB per formula unit
formation enthalpy at 0 K: 1.286 eV per atom

Entry 3:
Below is an optimized crystal structure of ZnAg3Cl4, with properties calculated at the PBE level.

CIF file:
```
data_ZnAg3Cl4
_chemical_formula_sum 'Zn2 Ag6 Cl8'
_symmetry_space_group_name_H-M 'I -4 2 m'
_symmetry_Int_Tables_number 121
_symmetry_space_group_name_Hall 'I -4 2'
_cell_length_a 6.0704
_cell_length_b 6.0704
_cell_length_c 11.8563
_cell_angle_alpha 90.00
_cell_angle_beta 90.00
_cell_angle_gamma 90.00
loop_
_atom_site_label
_atom_site_fract_x
_atom_site_fract_y
_atom_site_fract_z
Zn1 0.0000 0.0000 0.0000
Ag1 0.0000 0.0000 0.5000
Ag2 0.0000 0.5000 0.2500
Cl1 0.2258 0.2258 0.8857
```

DOS at the Fermi energy: 3.50 states/eV per cell
crystal system: tetragonal
size of the total moment: 0.00 μB per formula unit

Entry 4:
Below is an optimized crystal structure of SrSb, with properties calculated at the PBE level.

CIF file:
```
data_SrSb
_chemical_formula_sum 'Sr1 Sb1'
_symmetry_space_group_name_H-M 'P -6 m 2'
_symmetry_Int_Tables_number 187
_symmetry_space_group_name_Hall 'P -6 2'
_cell_length_a 4.2464
_cell_length_b 4.2464
_cell_length_c 4.7129
_cell_angle_alpha 90.00
_cell_angle_beta 90.00
_cell_angle_gamma 120.00
loop_
_atom_site_label
_atom_site_fract_x
_atom_site_fract_y
_atom_site_fract_z
Sr1 0.0000 0.0000 0.0000
Sb1 0.3333 0.6667 0.5000
```

DOS at the Fermi energy: 1.53 states/eV per cell
crystal system: hexagonal
size of the total moment: 0.00 μB per formula unit

Entry 5:
Below is an optimized crystal structure of Tc2GeMoC, with properties calculated at the PBE level.

CIF file:
```
data_Tc2GeMoC
_chemical_formula_sum 'Tc2 Ge1 Mo1 C1'
_symmetry_space_group_name_H-M 'P 4/m m m'
_symmetry_Int_Tables_number 123
_symmetry_space_group_name_Hall '-P 4 2'
_cell_length_a 4.0868
_cell_length_b 4.0868
_cell_length_c 4.1208
_cell_angle_alpha 90.00
_cell_angle_beta 90.00
_cell_angle_gamma 90.00
loop_
_atom_site_label
_atom_site_fract_x
_atom_site_fract_y
_atom_site_fract_z
Tc1 0.0000 0.5000 0.0000
Ge1 0.0000 0.0000 0.5000
Mo1 0.5000 0.5000 0.5000
C1 0.5000 0.5000 0.0000
```

DOS at the Fermi energy: 5.67 states/eV per cell
crystal system: tetragonal
size of the total moment: 1.02 μB per formula unit
formation enthalpy at 0 K: 0.192 eV per atom

Entry 6:
Below is an optimized crystal structure of TeBrF, with properties calculated at the PBE level.

CIF file:
```
data_TeBrF
_chemical_formula_sum 'Te2 Br2 F2'
_symmetry_space_group_name_H-M 'P 1'
_symmetry_Int_Tables_number 1
_symmetry_space_group_name_Hall 'P 1'
_cell_length_a 5.5406
_cell_length_b 6.3621
_cell_length_c 6.6045
_cell_angle_alpha 110.26
_cell_angle_beta 102.60
_cell_angle_gamma 97.55
loop_
_atom_site_label
_atom_site_fract_x
_atom_site_fract_y
_atom_site_fract_z
Te1 0.0000 0.0000 0.0000
Te2 0.2060 0.8288 0.6532
Br1 0.5221 0.6076 0.8157
Br2 0.8535 0.1164 0.6174
F1 0.1482 0.8417 0.1875
F2 0.2782 0.2680 0.1804
```

crystal system: triclinic
size of the total moment: 0.00 μB per formula unit

Entry 7:
Below is an optimized crystal structure of Cd2HgRh, with properties calculated at the PBE level.

CIF file:
```
data_Cd2HgRh
_chemical_formula_sum 'Cd4 Hg2 Rh2'
_symmetry_space_group_name_H-M 'I -4 m 2'
_symmetry_Int_Tables_number 119
_symmetry_space_group_name_Hall 'I -4 -2'
_cell_length_a 4.1085
_cell_length_b 4.1085
_cell_length_c 8.9918
_cell_angle_alpha 90.00
_cell_angle_beta 90.00
_cell_angle_gamma 90.00
loop_
_atom_site_label
_atom_site_fract_x
_atom_site_fract_y
_atom_site_fract_z
Cd1 0.0000 0.0000 0.0000
Cd2 0.0000 0.5000 0.2500
Hg1 0.0000 0.5000 0.7500
Rh1 0.0000 0.0000 0.5000
```

DOS at the Fermi energy: 3.61 states/eV per cell
crystal system: tetragonal
size of the total moment: 0.00 μB per formula unit
formation enthalpy at 0 K: -0.009 eV per atom

Entry 8:
Below is an optimized crystal structure of H2I3Cl, with properties calculated at the PBE level.

CIF file:
```
data_H2I3Cl
_chemical_formula_sum 'H8 I12 Cl4'
_symmetry_space_group_name_H-M 'C 1 2/c 1'
_symmetry_Int_Tables_number 15
_symmetry_space_group_name_Hall '-C 2yc'
_cell_length_a 10.6475
_cell_length_b 9.1262
_cell_length_c 11.8289
_cell_angle_alpha 90.00
_cell_angle_beta 104.82
_cell_angle_gamma 90.00
loop_
_atom_site_label
_atom_site_fract_x
_atom_site_fract_y
_atom_site_fract_z
H1 0.0410 0.1678 0.4776
I1 0.0000 0.1341 0.2500
I2 0.0754 0.2195 0.6160
Cl1 0.0000 0.3940 0.2500
```

DOS at the Fermi energy: 0.00 states/eV per cell
crystal system: monoclinic
size of the total moment: 0.00 μB per formula unit

Entry 9:
Below is an optimized crystal structure of ZnRe2Ru, with properties calculated at the PBE level.

CIF file:
```
data_ZnRe2Ru
_chemical_formula_sum 'Zn2 Re4 Ru2'
_symmetry_space_group_name_H-M 'C m m 2'
_symmetry_Int_Tables_number 35
_symmetry_space_group_name_Hall 'C 2 -2'
_cell_length_a 2.8857
_cell_length_b 4.5615
_cell_length_c 8.9858
_cell_angle_alpha 90.00
_cell_angle_beta 90.00
_cell_angle_gamma 90.00
loop_
_atom_site_label
_atom_site_fract_x
_atom_site_fract_y
_atom_site_fract_z
Zn1 0.0000 0.0000 0.0000
Re1 0.0000 0.0000 0.4927
Re2 0.0000 0.5000 0.7435
Ru1 0.0000 0.5000 0.2447
```

DOS at the Fermi energy: 7.25 states/eV per cell
crystal system: orthorhombic
size of the total moment: 0.00 μB per formula unit
formation enthalpy at 0 K: 0.257 eV per atom

Entry 10:
Below is an optimized crystal structure of LaSm2DyEr, with properties calculated at the PBE level.

CIF file:
```
data_LaSm2DyEr
_chemical_formula_sum 'La1 Sm2 Dy1 Er1'
_symmetry_space_group_name_H-M 'P m m m'
_symmetry_Int_Tables_number 47
_symmetry_space_group_name_Hall '-P 2 2'
_cell_length_a 3.6532
_cell_length_b 5.6308
_cell_length_c 8.6236
_cell_angle_alpha 90.00
_cell_angle_beta 90.00
_cell_angle_gamma 90.00
loop_
_atom_site_label
_atom_site_fract_x
_atom_site_fract_y
_atom_site_fract_z
La1 0.0000 0.0000 0.0000
Sm1 0.0000 0.5000 0.3217
Dy1 0.5000 0.5000 0.0000
Er1 0.5000 0.0000 0.5000
```

DOS at the Fermi energy: 8.36 states/eV per cell
crystal system: orthorhombic
size of the total moment: 0.00 μB per formula unit
formation enthalpy at 0 K: 0.268 eV per atom

Entry 11:
Below is an optimized crystal structure of LiSm2NiH6, with properties calculated at the PBE level.

CIF file:
```
data_LiSm2NiH6
_chemical_formula_sum 'Li1 Sm2 Ni1 H6'
_symmetry_space_group_name_H-M 'P -3 m 1'
_symmetry_Int_Tables_number 164
_symmetry_space_group_name_Hall '-P 3 2"'
_cell_length_a 4.9377
_cell_length_b 4.9377
_cell_length_c 4.6088
_cell_angle_alpha 90.00
_cell_angle_beta 90.00
_cell_angle_gamma 120.00
loop_
_atom_site_label
_atom_site_fract_x
_atom_site_fract_y
_atom_site_fract_z
Li1 0.0000 0.0000 0.0000
Sm1 0.3333 0.6667 0.7483
Ni1 0.0000 0.0000 0.5000
H1 0.1644 0.3287 0.2703
```

DOS at the Fermi energy: 2.88 states/eV per cell
crystal system: trigonal
size of the total moment: 0.00 μB per formula unit

Entry 12:
Below is an optimized crystal structure of CaPr2Nd8, with properties calculated at the PBE level.

CIF file:
```
data_CaPr2Nd8
_chemical_formula_sum 'Ca2 Pr4 Nd16'
_symmetry_space_group_name_H-M 'C 1 2/m 1'
_symmetry_Int_Tables_number 12
_symmetry_space_group_name_Hall '-C 2y'
_cell_length_a 16.8784
_cell_length_b 5.9550
_cell_length_c 9.3350
_cell_angle_alpha 90.00
_cell_angle_beta 122.17
_cell_angle_gamma 90.00
loop_
_atom_site_label
_atom_site_fract_x
_atom_site_fract_y
_atom_site_fract_z
Ca1 0.0000 0.0000 0.0000
Pr1 0.2225 0.5000 0.8553
Nd1 0.0494 0.5000 0.3758
Nd2 0.0990 0.0000 0.6949
Nd3 0.1474 0.5000 0.1273
Nd4 0.1925 0.0000 0.4212
```

DOS at the Fermi energy: 32.36 states/eV per cell
crystal system: monoclinic
size of the total moment: 0.00 μB per formula unit
formation enthalpy at 0 K: 0.084 eV per atom

Entry 13:
Below is an optimized crystal structure of LiCu2Sb2, with properties calculated at the PBE level.

CIF file:
```
data_LiCu2Sb2
_chemical_formula_sum 'Li2 Cu4 Sb4'
_symmetry_space_group_name_H-M 'P 4/m b m'
_symmetry_Int_Tables_number 127
_symmetry_space_group_name_Hall '-P 4 2ab'
_cell_length_a 7.7801
_cell_length_b 7.7801
_cell_length_c 3.2494
_cell_angle_alpha 90.00
_cell_angle_beta 90.00
_cell_angle_gamma 90.00
loop_
_atom_site_label
_atom_site_fract_x
_atom_site_fract_y
_atom_site_fract_z
Li1 0.0000 0.0000 0.0000
Cu1 0.1195 0.3805 0.5000
Sb1 0.1737 0.6737 0.0000
```

DOS at the Fermi energy: 3.33 states/eV per cell
crystal system: tetragonal
size of the total moment: 0.00 μB per formula unit

Looking at uncorrected energy for the records above, in order, we have -4.582; -3.508; -2.560; -3.569; -8.889; -3.165; -2.379; -2.180; -8.605; -4.438; -4.098; -4.435; -3.648 eV/atom.